[1]
# Cd3Ag5Sn

A geometry-optimized Cd3Ag5Sn structure (PBE, the Alexandria database).

Space group = C2/m (12)
E_form = 184 meV/atom
Crystal system = monoclinic
Raw total energy = -2.15 eV per atom
Total magnetic moment = 0.00 μB per formula unit

Unit cell a=5.7886 b=5.7886 c=12.5078 alpha=86.26 beta=86.26 gamma=83.61
Element x y z (fractional)
Sn 0.9086 0.9086 0.2789
Ag 0.2887 0.2887 0.8806
Ag 0.4898 0.4898 0.2983
Cd 0.2610 0.2610 0.1325
Ag 0.5997 0.0010 0.6732
Ag 0.9990 0.4003 0.3268
Ag 0.0010 0.5997 0.6732
Sn 0.0914 0.0914 0.7211
Cd 0.3334 0.3334 0.5119
Cd 0.0000 0.0000 0.0000
Cd 0.6666 0.6666 0.4881
Ag 0.3304 0.6696 0.0000
Cd 0.7390 0.7390 0.8675
Cd 0.0000 0.0000 0.5000
Ag 0.7113 0.7113 0.1194
Ag 0.4003 0.9990 0.3268
Ag 0.6696 0.3304 0.0000
Ag 0.5102 0.5102 0.7017

---

[2]
# Cd3Ag7Sn

A geometry-optimized Cd3Ag7Sn structure (PBE, the Alexandria database).

Space group = C2/m (12)
E_form = 101 meV/atom
Crystal system = monoclinic
Raw total energy = -2.33 eV per atom
Total magnetic moment = 0.00 μB per formula unit

Unit cell a=5.3403 b=7.3749 c=7.3749 alpha=84.53 beta=115.69 gamma=115.69
Element x y z (fractional)
Ag 0.0000 0.5000 0.5000
Ag 0.3271 0.5839 0.0643
Ag 0.6196 0.7838 0.7838
Sn 0.5000 0.5000 0.5000
Ag 0.6729 0.9357 0.4161
Ag 0.3804 0.2162 0.2162
Cd 0.0000 0.2082 0.7918
Cd 0.0000 0.7918 0.2082
Cd 0.5000 0.0000 0.0000
Ag 0.6729 0.4161 0.9357
Ag 0.3271 0.0643 0.5839

---

[3]
# Cd2Ag9Sn

A geometry-optimized Cd2Ag9Sn structure (PBE, the Alexandria database).

Space group = P4/mmm (123)
E_form = -12 meV/atom
Crystal system = tetragonal
Raw total energy = -2.64 eV per atom
Total magnetic moment = 0.00 μB per formula unit

Unit cell a=4.2444 b=4.2444 c=12.5424 alpha=90.00 beta=90.00 gamma=90.00
Element x y z (fractional)
Ag 0.5000 0.5000 0.3331
Cd 0.0000 0.0000 0.6653
Ag 0.0000 0.5000 0.8308
Ag 0.5000 0.0000 0.1692
Ag 0.5000 0.5000 0.0000
Ag 0.5000 0.5000 0.6669
Cd 0.0000 0.0000 0.3347
Ag 0.5000 0.0000 0.8308
Sn 0.0000 0.0000 0.0000
Ag 0.5000 0.0000 0.5000
Ag 0.0000 0.5000 0.1692
Ag 0.0000 0.5000 0.5000

---

[4]
# CdAg6Sn2

A geometry-optimized CdAg6Sn2 structure (PBE, the Alexandria database).

Space group = P4_2/mnm (136)
E_form = 14 meV/atom
Crystal system = tetragonal
Raw total energy = -2.88 eV per atom
Total magnetic moment = 0.00 μB per formula unit
Excess energy over the best structure of this formula in the dataset = 0 meV per atom

Unit cell a=4.4172 b=8.9704 c=8.9704 alpha=90.00 beta=90.00 gamma=90.00
Element x y z (fractional)
Ag 0.9999 0.3365 0.1634
Ag 0.0000 0.0033 0.1634
Sn 0.4999 0.1747 0.3252
Ag 0.0001 0.6634 0.5034
Sn 0.5001 0.8253 0.6748
Ag 0.0001 0.6635 0.8366
Ag 0.5001 0.8365 0.3366
Ag 0.9999 0.3366 0.4966
Ag 0.5000 0.5033 0.3366
Cd 0.5000 0.5000 0.0000
Ag 0.0000 0.9967 0.8366
Cd 0.0000 0.0000 0.5000
Ag 0.4999 0.1635 0.6634
Sn 0.9999 0.3253 0.8252
Ag 0.5000 0.4967 0.6634
Sn 0.0001 0.6747 0.1748
Ag 0.4999 0.1634 0.9966
Ag 0.5001 0.8366 0.0034

---

What did the second record say?
# Cd3Ag7Sn

A geometry-optimized Cd3Ag7Sn structure (PBE, the Alexandria database).

Space group = C2/m (12)
E_form = 101 meV/atom
Crystal system = monoclinic
Raw total energy = -2.33 eV per atom
Total magnetic moment = 0.00 μB per formula unit

Unit cell a=5.3403 b=7.3749 c=7.3749 alpha=84.53 beta=115.69 gamma=115.69
Element x y z (fractional)
Ag 0.0000 0.5000 0.5000
Ag 0.3271 0.5839 0.0643
Ag 0.6196 0.7838 0.7838
Sn 0.5000 0.5000 0.5000
Ag 0.6729 0.9357 0.4161
Ag 0.3804 0.2162 0.2162
Cd 0.0000 0.2082 0.7918
Cd 0.0000 0.7918 0.2082
Cd 0.5000 0.0000 0.0000
Ag 0.6729 0.4161 0.9357
Ag 0.3271 0.0643 0.5839

---

Which of these has the lowest E_form? Cd2Ag9Sn

---

Number 2 is which compound? Cd3Ag7Sn

---

Which value of raw total energy does entry 2 give? -2.33 eV per atom